Entry 1:
The following is a DFT calculation (PBE) of a relaxed TmSc5Cd4 crystal.

abc: 3.464 3.464 19.408
angles: 90.00 90.00 90.00
Fractional positions:
Tm (0.000, 0.000, 0.000)
Sc (0.500, 0.500, 0.119)
Sc (0.500, 0.500, 0.312)
Sc (0.500, 0.500, 0.500)
Sc (0.500, 0.500, 0.688)
Sc (0.500, 0.500, 0.881)
Cd (0.000, 0.000, 0.216)
Cd (0.000, 0.000, 0.405)
Cd (0.000, 0.000, 0.595)
Cd (0.000, 0.000, 0.784)

Properties
* ΔH_f (0 K): -21 kJ per mole of atoms
* E_tot: -41.92 eV/cell
* crystal system: tetragonal
* space-group type: P4/mmm, No. 123

=====

Entry 2:
The following is a DFT calculation (PBE) of a relaxed La3Sm7Y2 crystal.

abc: 12.088 12.088 12.088
angles: 31.92 31.92 31.92
Fractional positions:
La (0.000, 0.000, 0.000)
La (0.154, 0.154, 0.154)
La (0.846, 0.846, 0.846)
Sm (0.082, 0.585, 0.585)
Sm (0.415, 0.415, 0.918)
Sm (0.415, 0.918, 0.415)
Sm (0.500, 0.500, 0.500)
Sm (0.585, 0.082, 0.585)
Sm (0.585, 0.585, 0.082)
Sm (0.918, 0.415, 0.415)
Y (0.334, 0.334, 0.334)
Y (0.666, 0.666, 0.666)

Properties
* ΔH_f (0 K): 25 kJ per mole of atoms
* E_tot: -57.62 eV/cell
* crystal system: trigonal
* space-group type: R-3m, No. 166

=====

Entry 3:
The following is a DFT calculation (PBE) of a relaxed LaSm3Tm3 crystal.

abc: 8.907 8.907 8.907
angles: 58.26 58.26 58.26
Fractional positions:
La (0.154, 0.154, 0.154)
La (0.846, 0.846, 0.846)
Sm (0.069, 0.569, 0.224)
Sm (0.224, 0.069, 0.569)
Sm (0.431, 0.776, 0.931)
Sm (0.569, 0.224, 0.069)
Sm (0.776, 0.931, 0.431)
Sm (0.931, 0.431, 0.776)
Tm (0.218, 0.670, 0.435)
Tm (0.330, 0.565, 0.782)
Tm (0.435, 0.218, 0.670)
Tm (0.565, 0.782, 0.330)
Tm (0.670, 0.435, 0.218)
Tm (0.782, 0.330, 0.565)

Properties
* ΔH_f (0 K): 19 kJ per mole of atoms
* excess energy over the best structure of this formula in the dataset: 0 meV/atom
* E_tot: -62.26 eV/cell
* crystal system: trigonal
* space-group type: R-3, No. 148

=====

Entry 4:
The following is a DFT calculation (PBE) of a relaxed PrBe2InPd5 crystal.

abc: 4.424 4.424 7.613
angles: 90.00 90.00 90.00
Fractional positions:
Pr (0.000, 0.000, 0.000)
Be (0.500, 0.500, 0.333)
Be (0.500, 0.500, 0.667)
In (0.000, 0.000, 0.500)
Pd (0.000, 0.500, 0.276)
Pd (0.000, 0.500, 0.724)
Pd (0.500, 0.000, 0.276)
Pd (0.500, 0.000, 0.724)
Pd (0.500, 0.500, 0.000)

Properties
* ΔH_f (0 K): -49 kJ per mole of atoms
* E_tot: -45.47 eV/cell
* crystal system: tetragonal
* space-group type: P4/mmm, No. 123

=====

Entry 5:
The following is a DFT calculation (PBE) of a relaxed Ce2ZnCu crystal.

abc: 4.374 4.374 4.380
angles: 90.00 90.00 90.00
Fractional positions:
Ce (0.000, 0.500, 0.000)
Ce (0.500, 0.000, 0.000)
Zn (0.000, 0.000, 0.500)
Cu (0.500, 0.500, 0.500)

Properties
* ΔH_f (0 K): -10 kJ per mole of atoms
* E_tot: -17.63 eV/cell
* crystal system: tetragonal
* space-group type: P4/mmm, No. 123

=====

Entry 6:
The following is a DFT calculation (PBE) of a relaxed CaBrNF2 crystal.

abc: 4.843 4.843 3.807
angles: 90.00 90.00 90.00
Fractional positions:
Ca (0.000, 0.000, 0.000)
Br (0.500, 0.500, 0.500)
N (0.500, 0.500, 0.000)
F (0.000, 0.500, 0.500)
F (0.500, 0.000, 0.500)

Properties
* formation energy (no corrections): -0.55 eV per atom
* excess energy over the best structure of this formula in the dataset: 390 meV/atom
* E_tot: -18.51 eV/cell
* crystal system: tetragonal
* space-group type: P4/mmm, No. 123

=====

Entry 7:
The following is a DFT calculation (PBE) of a relaxed Nb2TcBiMo crystal.

abc: 4.792 4.792 5.211
angles: 90.00 90.00 90.00
Fractional positions:
Nb (0.000, 0.500, 0.000)
Nb (0.500, 0.000, 0.000)
Tc (0.000, 0.000, 0.500)
Bi (0.500, 0.500, 0.500)
Mo (0.500, 0.500, 0.000)

Properties
* ΔH_f (0 K): 159 kJ per mole of atoms
* E_tot: -36.96 eV/cell
* crystal system: tetragonal
* space-group type: P4/mmm, No. 123

=====

Entry 8:
The following is a DFT calculation (PBE) of a relaxed LiIn8Sn2 crystal.

abc: 5.008 5.008 11.779
angles: 90.00 90.00 90.00
Fractional positions:
Li (0.000, 0.000, 0.000)
In (0.000, 0.500, 0.133)
In (0.000, 0.500, 0.500)
In (0.000, 0.500, 0.867)
In (0.500, 0.000, 0.133)
In (0.500, 0.000, 0.500)
In (0.500, 0.000, 0.867)
In (0.500, 0.500, 0.317)
In (0.500, 0.500, 0.683)
Sn (0.000, 0.000, 0.311)
Sn (0.000, 0.000, 0.689)

Properties
* ΔH_f (0 K): 0 kJ per mole of atoms
* excess energy over the best structure of this formula in the dataset: 0 meV/atom
* E_tot: -31.84 eV/cell
* crystal system: tetragonal
* space-group type: P4/mmm, No. 123

=====

Entry 9:
The following is a DFT calculation (PBE) of a relaxed KLaSb2 crystal.

abc: 3.509 4.542 8.404
angles: 90.00 90.00 90.00
Fractional positions:
K (0.000, 0.000, 0.000)
La (0.000, 0.000, 0.500)
Sb (0.500, 0.500, 0.283)
Sb (0.500, 0.500, 0.717)

Properties
* formation energy (no corrections): -0.69 eV per atom
* excess energy over the best structure of this formula in the dataset: 63 meV/atom
* E_tot: -17.01 eV/cell
* crystal system: orthorhombic
* space-group type: Pmmm, No. 47

=====

Entry 10:
The following is a DFT calculation (PBE) of a relaxed CaZnRe2 crystal.

abc: 5.573 5.573 2.671
angles: 99.12 99.12 120.89
Fractional positions:
Ca (0.000, 0.000, 0.000)
Zn (0.500, 0.500, 0.000)
Re (0.000, 0.500, 0.500)
Re (0.500, 0.000, 0.500)

Properties
* ΔH_f (0 K): 55 kJ per mole of atoms
* E_tot: -25.89 eV/cell
* crystal system: monoclinic
* space-group type: C2/m, No. 12

=====

Entry 11:
The following is a DFT calculation (PBE) of a relaxed LaHfSi2Te crystal.

abc: 5.149 5.149 5.795
angles: 90.00 90.00 90.00
Fractional positions:
La (0.000, 0.000, 0.000)
Hf (0.500, 0.500, 0.000)
Si (0.000, 0.500, 0.500)
Si (0.500, 0.000, 0.500)
Te (0.000, 0.000, 0.500)

Properties
* formation energy (no corrections): 1.07 eV per atom
* E_tot: -23.54 eV/cell
* crystal system: tetragonal
* space-group type: P4/mmm, No. 123

=====

Entry 12:
The following is a DFT calculation (PBE) of a relaxed BaLaOs2 crystal.

abc: 3.092 3.851 9.207
angles: 90.00 90.00 90.00
Fractional positions:
Ba (0.000, 0.000, 0.000)
La (0.500, 0.500, 0.418)
Os (0.000, 0.000, 0.638)
Os (0.500, 0.500, 0.728)

Properties
* ΔH_f (0 K): 42 kJ per mole of atoms
* excess energy over the best structure of this formula in the dataset: 337 meV/atom
* E_tot: -27.59 eV/cell
* crystal system: orthorhombic
* space-group type: Pmm2, No. 25